Compound: TaSICl2
Source: Alexandria via LeMat-Bulk
Functional: GGA-PBE
Structure: optimized geometry

Results
Raw formation energy: -1.83 eV per formula unit
M_tot: 0.000 μB/cell
Energy above the lowest structure with this stoichiometry: 0 meV per atom
Energy: -4.61 eV/atom

Cell: 4.921 4.921 4.866 Å, 90.00 90.00 90.00°
Fractional coordinates of all 5 atoms:
Cl1 0.000 0.500 0.000
Cl2 0.500 0.000 0.000
Ta1 0.000 0.000 0.000
I1 0.500 0.500 0.500
S1 0.000 0.000 0.500

=====

Compound: InI3
Source: Alexandria via LeMat-Bulk
Functional: GGA-PBE
Structure: optimized geometry

Results
Raw formation energy: -1.86 eV per formula unit
M_tot: 0.000 μB/cell
Energy: -2.31 eV/atom

Cell: 14.306 4.422 6.582 Å, 90.00 90.00 90.00°
Fractional coordinates of all 8 atoms:
I1 0.000 0.000 0.662
I2 0.163 0.500 0.150
I3 0.500 0.500 0.162
I4 0.663 0.000 0.650
I5 0.337 0.000 0.650
I6 0.837 0.500 0.150
In1 0.500 0.000 0.447
In2 0.000 0.500 0.947

=====

Compound: B2TeOsBr
Source: Alexandria via LeMat-Bulk
Functional: GGA-PBE
Structure: optimized geometry

Results
Raw formation energy: 11.55 eV per formula unit
M_tot: 1.092 μB/cell
Energy: -3.57 eV/atom

Cell: 4.408 5.207 4.408 Å, 90.00 90.00 90.00°
Site moments in Bohr magnetons follow the coordinates.
Fractional coordinates of all 5 atoms:
Te1 0.000 0.000 0.000  0.00
Os1 0.000 0.500 0.000  0.90
Br1 0.500 0.500 0.500  0.02
B1 0.000 0.000 0.500  0.01
B2 0.500 0.000 0.000  0.01

=====

Compound: Pm3Ho
Source: Alexandria via LeMat-Bulk
Functional: GGA-PBE
Structure: optimized geometry

Results
M_tot: 0.000 μB/cell
Energy above the lowest structure with this stoichiometry: 16 meV per atom
Energy: -4.69 eV/atom

Cell: 5.115 5.115 5.115 Å, 90.00 90.00 90.00°
Fractional coordinates of all 4 atoms:
Pm1 0.000 0.500 0.500
Pm2 0.500 0.500 0.000
Pm3 0.500 0.000 0.500
Ho1 0.000 0.000 0.000

=====

Compound: ReAgOs2
Source: Alexandria via LeMat-Bulk
Functional: GGA-PBE
Structure: optimized geometry

Results
M_tot: 0.000 μB/cell
Energy above the lowest structure with this stoichiometry: 501 meV per atom
Energy: -8.67 eV/atom

Cell: 4.422 4.422 4.422 Å, 60.00 60.00 60.00°
Fractional coordinates of all 4 atoms:
Os1 0.750 0.750 0.750
Os2 0.250 0.250 0.250
Re1 0.500 0.500 0.500
Ag1 0.000 0.000 0.000

=====

Compound: LiTeMo2
Source: Alexandria via LeMat-Bulk
Functional: GGA-PBE
Structure: optimized geometry

Results
Raw formation energy: 1.89 eV per formula unit
M_tot: 0.000 μB/cell
Energy: -6.21 eV/atom

Cell: 4.300 4.300 3.628 Å, 90.00 90.00 100.64°
Fractional coordinates of all 4 atoms:
Mo1 0.500 0.500 0.000
Mo2 0.000 0.000 0.000
Li1 0.000 0.500 0.500
Te1 0.500 0.000 0.500